A relaxed structure of Mn2NbO. Source: the Alexandria database, functional PBE with a Hubbard U.

## Properties
calculated total energy: -117.17 eV per cell
calculated volume: 279.3 Å³/cell
D(E_F): 11.0 states/eV per cell

a b c (Å): 6.284 6.284 7.072
angles (deg): 90.00 90.00 90.00
Space group I-42d (No. 122)
Asymmetric unit:
Mn (0.148, 0.250, 0.125)
Nb (0.000, 0.000, 0.500)
O (0.000, 0.000, 0.000)